Entry from Alexandria: LiSc2Pb at its PBEsol-relaxed geometry (meta-GGA SCAN).

## Properties
Its space-group type is P4/mmm.

abc: 4.1872 4.5213 4.5213
angles: 90.00 90.00 90.00
Site moments in Bohr magnetons follow the coordinates.
Sites, in units of the cell vectors:
Pb 0.5000 0.0000 0.0000  -0.01
Sc 0.0000 0.5000 0.0000  0.26
Sc 0.0000 0.0000 0.5000  0.26
Li 0.5000 0.5000 0.5000  0.00

Entry from Alexandria: CuCBr2 at its PBEsol-relaxed geometry (meta-GGA SCAN).

## Properties
As for the uncorrected formation energy: 1.385 eV per atom. Its offset from the most stable computed form is 0 meV per atom. Its space-group type is I-42d.

abc: 4.9948 4.9948 7.2899
angles: 110.03 110.03 90.00
Sites, in units of the cell vectors:
Br 0.6250 0.6010 0.7500
Br 0.1250 0.1490 0.7500
Br 0.8510 0.3750 0.2500
Br 0.3990 0.8750 0.2500
Cu 0.2500 0.7500 0.5000
Cu 0.0000 0.0000 0.0000
C 0.7500 0.2500 0.5000
C 0.5000 0.5000 0.0000

Entry from Alexandria: TaBeNi2 at its PBEsol-relaxed geometry (meta-GGA SCAN).

## Properties
Its space-group type is P4/mmm.

abc: 2.6706 2.6702 6.3242
angles: 90.00 90.01 90.00
Sites, in units of the cell vectors:
Be 0.5000 0.5000 0.5000
Ta 0.5000 0.5000 0.0000
Ni 0.0000 0.0000 0.7006
Ni 0.0000 0.0000 0.2994

Entry from Alexandria: KCl at its PBEsol-relaxed geometry (meta-GGA SCAN).

## Properties
As for the uncorrected formation energy: -1.698 eV per atom. Its space-group type is Fd-3m.

abc: 5.3149 5.3149 5.3149
angles: 60.00 60.00 60.00
Sites, in units of the cell vectors:
K 0.0000 0.0000 0.0000
K 0.2500 0.2500 0.2500
Cl 0.7500 0.7500 0.7500
Cl 0.5000 0.5000 0.5000

Number 1: electronic total energy -27.10 eV per atom. Number 2: electronic total energy -14.67 eV per atom. Number 3: electronic total energy -26.18 eV per atom. Number 4: electronic total energy -9.85 eV per atom.